1.
Entry from Alexandria via LeMat-Bulk: a relaxed structure of LiY2Pu (PBE).

Computed properties:
excess energy over the best structure of this formula in the dataset	0	meV per atom
N(E_F)	10.1	states/eV/cell
formation enthalpy at 0 K	157	meV per atom

a b c (Å): 3.5167 3.5167 9.0098
angles (deg): 90.00 90.00 90.00
Last column: nearest neighbours and their distance in Å.
Space group P4/mmm (No. 123)
Asymmetric unit:
1 Li 0.0000 0.0000 0.0000 x1  8 Y 3.25, 4 Li 3.52
2 Y 0.5000 0.5000 0.2322 x2  4 Li 3.25, 4 Pu 3.46, 4 Y 3.52
3 Pu 0.0000 0.0000 0.5000 x1  8 Y 3.46, 4 Pu 3.52

2.
Entry from Alexandria via LeMat-Bulk: a relaxed structure of LiY2Pu (PBE).

Computed properties:
excess energy over the best structure of this formula in the dataset	216	meV per atom
N(E_F)	33.6	states/eV/cell
formation enthalpy at 0 K	373	meV per atom

a b c (Å): 3.3672 3.3672 35.7984
angles (deg): 90.00 90.00 120.00
Last column: nearest neighbours and their distance in Å.
Space group R-3m (No. 166, hexagonal axes)
Asymmetric unit:
1 Li 0.0000 0.0000 0.0000 x3  6 Y 3.33, 6 Li 3.37
2 Y 0.0000 0.0000 0.4088 x6  1 Pu 3.27, 3 Li 3.33, 6 Y 3.37
3 Pu 0.0000 0.0000 0.5000 x3  2 Y 3.27, 6 Pu 3.37

3.
Entry from Alexandria via LeMat-Bulk: a relaxed structure of LiPuZn10 (PBE).

Computed properties:
N(E_F)	14.0	states/eV/cell
formation enthalpy at 0 K	-90	meV per atom

a b c (Å): 4.3368 5.1188 9.2292
angles (deg): 90.00 90.00 90.00
Last column: nearest neighbours and their distance in Å.
Space group Pmmm (No. 47)
Asymmetric unit:
1 Li 0.0000 0.0000 0.0000 x1  6 Zn 2.84-2.92
2 Pu 0.0000 0.5000 0.5000 x1  18 Zn 3.11-3.35
3 Zn 0.0000 0.0000 0.3082 x2  6 Zn 2.58-2.80, 1 Li 2.84
4 Zn 0.0000 0.5000 0.1526 x2  7 Zn 2.59-2.82
5 Zn 0.5000 0.0000 0.5000 x1  8 Zn 2.58-2.80
6 Zn 0.5000 0.2573 0.2593 x4  8 Zn 2.48-2.70
7 Zn 0.5000 0.5000 0.0000 x1  8 Zn 2.59-2.70

4.
Entry from Alexandria via LeMat-Bulk: a relaxed structure of Li2PuZn (PBE).

Computed properties:
N(E_F)	7.4	states/eV/cell
formation enthalpy at 0 K	189	meV per atom

a b c (Å): 2.6427 2.6427 31.1706
angles (deg): 90.00 90.00 120.00
Last column: nearest neighbours and their distance in Å.
Space group R-3m (No. 166, hexagonal axes)
Asymmetric unit:
1 Li 0.0000 0.0000 0.0915 x6  6 Li 2.64, 3 Zn 2.80, 1 Pu 2.85
2 Pu 0.0000 0.0000 0.0000 x3  6 Pu 2.64, 2 Li 2.85
3 Zn 0.0000 0.0000 0.5000 x3  6 Zn 2.64, 6 Li 2.80

5.
Entry from Alexandria via LeMat-Bulk: a relaxed structure of LiPuZn5 (PBE).

Computed properties:
N(E_F)	9.7	states/eV/cell
formation enthalpy at 0 K	37	meV per atom

a b c (Å): 3.8180 3.8180 8.8781
angles (deg): 90.00 90.00 90.00
Last column: nearest neighbours and their distance in Å.
Space group P4/mmm (No. 123)
Asymmetric unit:
1 Li 0.0000 0.0000 0.0000 x1  12 Zn 2.70-2.75
2 Pu 0.5000 0.5000 0.5000 x1  8 Zn 3.11
3 Zn 0.0000 0.5000 0.2232 x4  6 Zn 2.70-2.75, 2 Li 2.75
4 Zn 0.5000 0.5000 0.0000 x1  4 Li 2.70, 8 Zn 2.75

6.
Entry from Alexandria via LeMat-Bulk: a relaxed structure of LiPuZn2 (PBE).

Computed properties:
excess energy over the best structure of this formula in the dataset	115	meV per atom
N(E_F)	4.6	states/eV/cell
formation enthalpy at 0 K	68	meV per atom

a b c (Å): 2.5560 2.5560 9.1236
angles (deg): 90.00 90.00 90.00
Last column: nearest neighbours and their distance in Å.
Space group P4/mmm (No. 123)
Asymmetric unit:
1 Li 0.0000 0.0000 0.0000 x1  4 Li 2.56, 8 Zn 2.75
2 Pu 0.0000 0.0000 0.5000 x1  4 Pu 2.56
3 Zn 0.5000 0.5000 0.2277 x2  4 Zn 2.56, 4 Li 2.75